1.
First-principles (GGA-PBE) data for a geometry-optimized MgZnNiPb structure, as listed in the Open Quantum Materials Database.

Calculated values
- Energy above the most stable polymorph in this dataset: 7 meV per atom

Cell lengths 4.656, 4.656, 4.656 Å; angles 60.00, 60.00, 60.00 degrees
Sites, in units of the cell vectors:
Mg1 0.000 0.000 0.000
Zn1 0.750 0.750 0.750
Ni1 0.500 0.500 0.500
Pb1 0.250 0.250 0.250



2.
First-principles (GGA-PBE) data for a geometry-optimized ErScIn4 structure, as listed in the Open Quantum Materials Database.

Calculated values
- E_tot: -24.2 eV for the cell shown

Cell lengths 4.573, 7.316, 7.316 Å; angles 36.18, 90.00, 90.00 degrees
Sites, in units of the cell vectors:
Er1 0.000 0.000 0.000
Sc1 0.000 0.688 0.688
In1 0.000 0.340 0.340
In2 0.500 0.169 0.169
In3 0.500 0.521 0.521
In4 0.500 0.840 0.840



3.
First-principles (GGA-PBE) data for a geometry-optimized PmBeTl structure, as listed in the Open Quantum Materials Database.

Calculated values
- Energy above the most stable polymorph in this dataset: 0 meV per atom

Cell lengths 4.798, 4.798, 4.798 Å; angles 60.00, 60.00, 60.00 degrees
Sites, in units of the cell vectors:
Pm1 0.000 0.000 0.000
Be1 0.500 0.500 0.500
Tl1 0.750 0.750 0.750



4.
First-principles (GGA-PBE) data for a geometry-optimized KHfOs structure, as listed in the Open Quantum Materials Database.

Calculated values
- Energy above the most stable polymorph in this dataset: 0 meV per atom

Cell lengths 4.678, 4.678, 4.678 Å; angles 60.00, 60.00, 60.00 degrees
Sites, in units of the cell vectors:
K1 0.000 0.000 0.000
Hf1 0.500 0.500 0.500
Os1 0.750 0.750 0.750